# ReHOF2, optimized geometry, DFT PBEsol
data_ReHOF2
_cell_length_a 4.0501
_cell_length_b 4.0501
_cell_length_c 3.7094
_cell_angle_alpha 90.00
_cell_angle_beta 90.00
_cell_angle_gamma 90.00
_space_group_name_H-M_alt 'P 4/m m m'
_space_group_IT_number 123
_space_group_name_Hall '-P 4 2'
loop_
_atom_site_label
_atom_site_type_symbol
_atom_site_fract_x
_atom_site_fract_y
_atom_site_fract_z
Re1 Re 0.0000 0.0000 0.0000
H1 H 0.5000 0.5000 0.5000
O1 O 0.0000 0.0000 0.5000
F1 F 0.0000 0.5000 0.0000
# Electronic total energy ... -29.62 eV for the cell shown